(1)
# DyCd9Pd2 (PBE-GGA, optimized geometry)
data_DyCd9Pd2
_cell_length_a 11.703
_cell_length_b 11.703
_cell_length_c 7.516
_cell_angle_alpha 90.00
_cell_angle_beta 90.00
_cell_angle_gamma 90.00
_symmetry_space_group_name_H-M 'I 41/a m d'
_symmetry_Int_Tables_number 141
loop_
_symmetry_equiv_pos_as_xyz
'x,y,z'
'-x,-y,-z'
'-y+1/4,x+3/4,z+1/4'
'y+1/4,-x+3/4,-z+1/4'
'-x+1/2,-y,z+1/2'
'x+1/2,y,-z+1/2'
'y+1/4,-x+1/4,z+3/4'
'-y+1/4,x+1/4,-z+3/4'
'x,-y,-z'
'-x,y,z'
'-y+1/4,-x+1/4,-z+3/4'
'y+1/4,x+1/4,z+3/4'
'-x+1/2,y,-z+1/2'
'x+1/2,-y,z+1/2'
'y+1/4,x+3/4,-z+1/4'
'-y+1/4,-x+3/4,z+1/4'
'x+1/2,y+1/2,z+1/2'
'-x+1/2,-y+1/2,-z+1/2'
'-y+3/4,x+1/4,z+3/4'
'y+3/4,-x+1/4,-z+3/4'
'-x,-y+1/2,z'
'x,y+1/2,-z'
'y+3/4,-x+3/4,z+1/4'
'-y+3/4,x+3/4,-z+1/4'
'x+1/2,-y+1/2,-z+1/2'
'-x+1/2,y+1/2,z+1/2'
'-y+3/4,-x+3/4,-z+1/4'
'y+3/4,x+3/4,z+1/4'
'-x,y+1/2,-z'
'x,-y+1/2,z'
'y+3/4,x+1/4,-z+3/4'
'-y+3/4,-x+1/4,z+3/4'
loop_
_atom_site_label
_atom_site_type_symbol
_atom_site_fract_x
_atom_site_fract_y
_atom_site_fract_z
Dy1 Dy 0.000 0.250 0.375
Cd1 Cd 0.000 0.250 0.875
Cd2 Cd 0.120 0.053 0.676
Pd1 Pd 0.000 0.000 0.000
# ρ (g cm⁻³): 8.9
# DFT total energy (eV for the cell shown): -102.8


(2)
# Pu3Zn2Sn4 (PBE-GGA, optimized geometry)
data_Pu3Zn2Sn4
_cell_length_a 11.069
_cell_length_b 4.847
_cell_length_c 9.098
_cell_angle_alpha 90.00
_cell_angle_beta 117.28
_cell_angle_gamma 90.00
_symmetry_space_group_name_H-M 'C 1 2/m 1'
_symmetry_Int_Tables_number 12
_symmetry_space_group_name_Hall '-C 2y'
loop_
_atom_site_label
_atom_site_type_symbol
_atom_site_fract_x
_atom_site_fract_y
_atom_site_fract_z
Pu1 Pu 0.000 0.000 0.000
Pu2 Pu 0.152 0.500 0.666
Zn1 Zn 0.139 0.500 0.304
Sn1 Sn 0.074 0.000 0.392
Sn2 Sn 0.201 0.500 0.049
# ρ (g cm⁻³): 10.2
# DFT total energy (eV for the cell shown): -127.7


(3)
# CaMg3Au4 (PBE-GGA, optimized geometry)
data_CaMg3Au4
_cell_length_a 9.553
_cell_length_b 6.888
_cell_length_c 4.778
_cell_angle_alpha 90.00
_cell_angle_beta 90.00
_cell_angle_gamma 90.00
_symmetry_space_group_name_H-M 'P m m a'
_symmetry_Int_Tables_number 51
_symmetry_space_group_name_Hall '-P 2a 2a'
loop_
_atom_site_label
_atom_site_type_symbol
_atom_site_fract_x
_atom_site_fract_y
_atom_site_fract_z
Ca1 Ca 0.000 0.000 0.000
Mg1 Mg 0.000 0.500 0.000
Mg2 Mg 0.250 0.000 0.500
Mg3 Mg 0.250 0.500 0.499
Au1 Au 0.000 0.272 0.500
Au2 Au 0.250 0.271 0.999
# ρ (g cm⁻³): 9.5
# DFT total energy (eV for the cell shown): -49.8


(4)
# TeRhSe2 (PBE-GGA, optimized geometry)
data_TeRhSe2
_cell_length_a 3.5949
_cell_length_b 3.5949
_cell_length_c 23.7844
_cell_angle_alpha 90.00
_cell_angle_beta 90.00
_cell_angle_gamma 120.00
_symmetry_space_group_name_H-M 'R -3 m'
_symmetry_Int_Tables_number 166
_symmetry_space_group_name_Hall '-R 3 2"'
loop_
_atom_site_label
_atom_site_type_symbol
_atom_site_fract_x
_atom_site_fract_y
_atom_site_fract_z
Te1 Te 0.0000 0.0000 0.0000
Rh1 Rh 0.0000 0.0000 0.5000
Se1 Se 0.0000 0.0000 0.2256
# Raw formation energy (eV per atom): -0.128
# ρ (g cm⁻³): 7.3
# DFT total energy (eV for the cell shown): -53.9